The following is a DFT calculation (PBE) of a relaxed TaAgN2 crystal.

Energy above the most stable polymorph in this dataset ... 4.57 eV/f.u.
Mass density ... 12.04 g cm⁻³
VASP energy ... -28.6 eV per cell
Energy relative to the elements, uncorrected ... 2.78 eV/f.u.

Unit cell a=3.9538 b=3.9538 c=3.9538 alpha=60.00 beta=60.00 gamma=60.00
Element x y z (fractional)
Ta 0.0000 0.0000 0.0000
Ag 0.5000 0.5000 0.5000
N 0.2500 0.2500 0.2500
N 0.7500 0.7500 0.7500

=====

The following is a DFT calculation (PBE) of a relaxed TaAgTe2N crystal.

Energy above the most stable polymorph in this dataset ... 0.00 eV/f.u.
Mass density ... 7.60 g cm⁻³
VASP energy ... -28.4 eV per cell
Energy relative to the elements, uncorrected ... 0.91 eV/f.u.

Unit cell a=5.5933 b=5.5933 c=3.8958 alpha=90.00 beta=90.00 gamma=90.00
Element x y z (fractional)
Ta 0.0000 0.0000 0.0000
Ag 0.5000 0.5000 0.5000
Te 0.0000 0.5000 0.0000
Te 0.5000 0.0000 0.0000
N 0.0000 0.0000 0.5000

=====

The following is a DFT calculation (PBE) of a relaxed TaAgTe2N crystal.

Energy above the most stable polymorph in this dataset ... 6.68 eV/f.u.
Mass density ... 8.30 g cm⁻³
VASP energy ... -21.7 eV per cell
Energy relative to the elements, uncorrected ... 7.59 eV/f.u.

Unit cell a=5.4112 b=5.4112 c=3.8135 alpha=90.00 beta=90.00 gamma=90.00
Element x y z (fractional)
Ta 0.0000 0.0000 0.0000
Ag 0.5000 0.5000 0.5000
Te 0.0000 0.5000 0.5000
Te 0.5000 0.0000 0.5000
N 0.5000 0.5000 0.0000

=====

The following is a DFT calculation (PBE) of a relaxed TaTi2AgN crystal.

Mass density ... 8.98 g cm⁻³
VASP energy ... -41.9 eV per cell
Energy relative to the elements, uncorrected ... -3.06 eV/f.u.

Unit cell a=4.1777 b=4.1777 c=4.2203 alpha=90.00 beta=90.00 gamma=90.00
Element x y z (fractional)
Ta 0.0000 0.0000 0.0000
Ti 0.0000 0.5000 0.5000
Ti 0.5000 0.0000 0.5000
Ag 0.5000 0.5000 0.0000
N 0.0000 0.0000 0.5000

=====

The following is a DFT calculation (PBE) of a relaxed YTa2AgN crystal.

Mass density ... 8.88 g cm⁻³
VASP energy ... -31.9 eV per cell
Energy relative to the elements, uncorrected ... 9.47 eV/f.u.

Unit cell a=5.2932 b=5.2932 c=3.8233 alpha=90.00 beta=90.00 gamma=90.00
Element x y z (fractional)
Y 0.0000 0.0000 0.0000
Ta 0.0000 0.5000 0.5000
Ta 0.5000 0.0000 0.5000
Ag 0.5000 0.5000 0.5000
N 0.5000 0.5000 0.0000

=====

The following is a DFT calculation (PBE) of a relaxed Y2TaAgN crystal.

Mass density ... 7.95 g cm⁻³
VASP energy ... -38.8 eV per cell
Energy relative to the elements, uncorrected ... -2.84 eV/f.u.

Unit cell a=4.9366 b=4.9366 c=4.1169 alpha=90.00 beta=90.00 gamma=90.00
Element x y z (fractional)
Y 0.0000 0.5000 0.0000
Y 0.5000 0.0000 0.0000
Ta 0.0000 0.0000 0.5000
Ag 0.5000 0.5000 0.5000
N 0.0000 0.0000 0.0000

=====

The following is a DFT calculation (PBE) of a relaxed Zr2TaAgN crystal.

Mass density ... 9.32 g cm⁻³
VASP energy ... -43.1 eV per cell
Energy relative to the elements, uncorrected ... -3.01 eV/f.u.

Unit cell a=4.5677 b=4.5677 c=4.1434 alpha=90.00 beta=90.00 gamma=90.00
Element x y z (fractional)
Zr 0.0000 0.5000 0.0000
Zr 0.5000 0.0000 0.0000
Ta 0.0000 0.0000 0.5000
Ag 0.5000 0.5000 0.5000
N 0.0000 0.0000 0.0000

=====

The following is a DFT calculation (PBE) of a relaxed TbAgN crystal.

Mass density ... 7.77 g cm⁻³
VASP energy ... -35.7 eV per cell
Energy relative to the elements, uncorrected ... -2.03 eV/f.u.

Unit cell a=4.0202 b=4.0202 c=9.1859 alpha=104.70 beta=104.70 gamma=57.62
Element x y z (fractional)
Tb 0.2162 0.2162 0.1420
Tb 0.7838 0.7838 0.8580
Ag 0.3693 0.3693 0.5854
Ag 0.6307 0.6307 0.4146
N 0.1186 0.1186 0.8790
N 0.8814 0.8814 0.1210

=====

The following is a DFT calculation (PBE) of a relaxed Tb12Ag3N5 crystal.

Mass density ... 8.14 g cm⁻³
VASP energy ... -482.3 eV per cell
Energy relative to the elements, uncorrected ... -14.83 eV/f.u.

Unit cell a=13.4614 b=13.4614 c=13.4614 alpha=109.47 beta=109.47 gamma=109.47
Element x y z (fractional)
Tb 0.0149 0.1994 0.1123
Tb 0.0149 0.3155 0.9026
Tb 0.0871 0.6994 0.6845
Tb 0.0871 0.8877 0.4026
Tb 0.0974 0.6123 0.4129
Tb 0.0974 0.9851 0.6845
Tb 0.1123 0.0149 0.1994
Tb 0.1123 0.5974 0.9129
Tb 0.1845 0.1994 0.5871
Tb 0.1845 0.4851 0.5974
Tb 0.1994 0.1123 0.0149
Tb 0.1994 0.5871 0.1845
Tb 0.3006 0.3155 0.9129
Tb 0.3006 0.4851 0.3877
Tb 0.3155 0.9026 0.0149
Tb 0.3155 0.9129 0.3006
Tb 0.3877 0.3006 0.4851
Tb 0.3877 0.5871 0.9026
Tb 0.4026 0.0871 0.8877
Tb 0.4026 0.8155 0.5149
Tb 0.4129 0.0974 0.6123
Tb 0.4129 0.8155 0.8006
Tb 0.4851 0.3877 0.3006
Tb 0.4851 0.5974 0.1845
Tb 0.5149 0.4026 0.8155
Tb 0.5149 0.6123 0.6994
Tb 0.5871 0.1845 0.1994
Tb 0.5871 0.9026 0.3877
Tb 0.5974 0.1845 0.4851
Tb 0.5974 0.9129 0.1123
Tb 0.6123 0.4129 0.0974
Tb 0.6123 0.6994 0.5149
Tb 0.6845 0.0871 0.6994
Tb 0.6845 0.0974 0.9851
Tb 0.6994 0.5149 0.6123
Tb 0.6994 0.6845 0.0871
Tb 0.8006 0.4129 0.8155
Tb 0.8006 0.8877 0.9851
Tb 0.8155 0.5149 0.4026
Tb 0.8155 0.8006 0.4129
Tb 0.8877 0.4026 0.0871
Tb 0.8877 0.9851 0.8006
Tb 0.9026 0.0149 0.3155
Tb 0.9026 0.3877 0.5871
Tb 0.9129 0.1123 0.5974
Tb 0.9129 0.3006 0.3155
Tb 0.9851 0.6845 0.0974
Tb 0.9851 0.8006 0.8877
Ag 0.1250 0.2500 0.3750
Ag 0.1250 0.3750 0.7500
Ag 0.2500 0.3750 0.1250
Ag 0.2500 0.8750 0.6250
Ag 0.3750 0.1250 0.2500
Ag 0.3750 0.7500 0.1250
Ag 0.6250 0.2500 0.8750
Ag 0.6250 0.8750 0.7500
Ag 0.7500 0.1250 0.3750
Ag 0.7500 0.6250 0.8750
Ag 0.8750 0.6250 0.2500
Ag 0.8750 0.7500 0.6250
N 0.0000 0.0000 0.0000
N 0.0000 0.0000 0.5000
N 0.0000 0.5000 0.0000
N 0.0000 0.5000 0.5000
N 0.1250 0.7500 0.8750
N 0.1250 0.8750 0.2500
N 0.2500 0.1250 0.8750
N 0.2500 0.6250 0.3750
N 0.3750 0.2500 0.6250
N 0.3750 0.6250 0.7500
N 0.5000 0.0000 0.0000
N 0.5000 0.0000 0.5000
N 0.5000 0.5000 0.0000
N 0.5000 0.5000 0.5000
N 0.6250 0.3750 0.2500
N 0.6250 0.7500 0.3750
N 0.7500 0.3750 0.6250
N 0.7500 0.8750 0.1250
N 0.8750 0.1250 0.7500
N 0.8750 0.2500 0.1250

=====

The following is a DFT calculation (PBE) of a relaxed Tb2AgN crystal.

Mass density ... 8.94 g cm⁻³
VASP energy ... -23.7 eV per cell
Energy relative to the elements, uncorrected ... -3.29 eV/f.u.

Unit cell a=7.8867 b=7.8867 c=7.8867 alpha=25.77 beta=25.77 gamma=25.77
Element x y z (fractional)
Tb 0.2265 0.2265 0.2265
Tb 0.7735 0.7735 0.7735
Ag 0.0000 0.0000 0.0000
N 0.5000 0.5000 0.5000

=====

The following is a DFT calculation (PBE) of a relaxed TbTm2AgN crystal.

Mass density ... 9.60 g cm⁻³
VASP energy ... -28.6 eV per cell
Energy relative to the elements, uncorrected ... -3.85 eV/f.u.

Unit cell a=4.6845 b=4.6845 c=4.8783 alpha=90.00 beta=90.00 gamma=90.00
Element x y z (fractional)
Tb 0.0000 0.0000 0.0000
Tm 0.0000 0.5000 0.5000
Tm 0.5000 0.0000 0.5000
Ag 0.5000 0.5000 0.0000
N 0.0000 0.0000 0.5000

=====

The following is a DFT calculation (PBE) of a relaxed TbY2AgN crystal.

Mass density ... 6.84 g cm⁻³
VASP energy ... -32.4 eV per cell
Energy relative to the elements, uncorrected ... -3.70 eV/f.u.

Unit cell a=4.7897 b=4.7897 c=4.8543 alpha=90.00 beta=90.00 gamma=90.00
Element x y z (fractional)
Tb 0.0000 0.0000 0.0000
Y 0.0000 0.5000 0.5000
Y 0.5000 0.0000 0.5000
Ag 0.5000 0.5000 0.0000
N 0.0000 0.0000 0.5000

=====

Which of these has the lowest VASP energy?
Tb12Ag3N5

=====

The lowest energy relative to the elements, uncorrected belongs to which entry?
Tb12Ag3N5